The following is a DFT calculation (GGA-PBE) of a geometry-optimized CdInAs structure.

## Properties
Size of the total moment = 0.0 μB per cell
Formation energy = 130 meV/atom
SG = Imm2
Density of states at the Fermi level = 1.6 states/eV per cell

a b c (Å): 6.495 6.495 6.495
angles (deg): 152.91 145.29 44.57
Element x y z (fractional)
Cd: 0.000 0.000 0.000
In: 0.690 0.690 0.000
As: 0.352 0.352 0.000

The following is a DFT calculation (GGA-PBE) of a geometry-optimized Cd2InAs structure.

## Properties
Size of the total moment = 0.0 μB per cell
E above lowest polymorph = 29 meV per atom
Formation energy = 102 meV/atom
SG = Immm
Density of states at the Fermi level = 1.1 states/eV per cell

a b c (Å): 6.515 6.515 6.515
angles (deg): 153.58 129.29 58.08
Element x y z (fractional)
Cd: 0.232 0.232 0.000
Cd: 0.768 0.768 0.000
In: 0.500 0.000 0.500
As: 0.000 0.500 0.500

The following is a DFT calculation (GGA-PBE) of a geometry-optimized Cd2InAs structure.

## Properties
Size of the total moment = 0.0 μB per cell
E above lowest polymorph = 0 meV per atom
Formation energy = 73 meV/atom
SG = I-42d
Density of states at the Fermi level = 4.5 states/eV per cell

a b c (Å): 6.514 6.514 6.514
angles (deg): 101.53 101.53 126.88
Element x y z (fractional)
Cd: 0.087 0.625 0.962
Cd: 0.375 0.337 0.462
Cd: 0.663 0.125 0.038
Cd: 0.875 0.913 0.538
In: 0.250 0.750 0.500
In: 0.500 0.500 0.000
As: 0.000 0.000 0.000
As: 0.750 0.250 0.500

The following is a DFT calculation (GGA-PBE) of a geometry-optimized Cd2InAs structure.

## Properties
Size of the total moment = 0.0 μB per cell
E above lowest polymorph = 46 meV per atom
Formation energy = 118 meV/atom
SG = I-4m2
Density of states at the Fermi level = 1.7 states/eV per cell

a b c (Å): 5.765 5.765 5.765
angles (deg): 135.55 135.55 64.68
Element x y z (fractional)
Cd: 0.000 0.000 0.000
Cd: 0.750 0.250 0.500
In: 0.250 0.750 0.500
As: 0.500 0.500 0.000

The following is a DFT calculation (GGA-PBE) of a geometry-optimized KCdInAs2 structure.

## Properties
Size of the total moment = 0.0 μB per cell
Formation energy = -304 meV/atom
SG = C2/m
Density of states at the Fermi level = 0.9 states/eV per cell

a b c (Å): 7.540 7.540 9.914
angles (deg): 99.16 99.16 34.46
Element x y z (fractional)
K: 0.163 0.163 0.173
K: 0.837 0.837 0.827
Cd: 0.175 0.175 0.578
Cd: 0.825 0.825 0.422
In: 0.452 0.452 0.298
In: 0.548 0.548 0.702
As: 0.123 0.123 0.831
As: 0.371 0.371 0.570
As: 0.629 0.629 0.430
As: 0.877 0.877 0.169

The following is a DFT calculation (GGA-PBE) of a geometry-optimized MnCdIn2As structure.

## Properties
Size of the total moment = 0.0 μB per cell
Formation energy = 145 meV/atom
SG = P4/mmm
Density of states at the Fermi level = 0.1 states/eV per cell

a b c (Å): 5.175 5.175 4.437
angles (deg): 90.00 90.00 90.00
Element x y z (fractional)
Mn: 0.000 0.000 0.000
Cd: 0.500 0.500 0.500
In: 0.000 0.500 0.000
In: 0.500 0.000 0.000
As: 0.000 0.000 0.500

The following is a DFT calculation (GGA-PBE) of a geometry-optimized NbCdInAs2 structure.

## Properties
Size of the total moment = 0.0 μB per cell
E above lowest polymorph = 0 meV per atom
Formation energy = 237 meV/atom
SG = P4/mmm
Density of states at the Fermi level = 3.9 states/eV per cell

a b c (Å): 4.992 4.992 5.613
angles (deg): 90.00 90.00 90.00
Element x y z (fractional)
Nb: 0.000 0.000 0.000
Cd: 0.500 0.500 0.500
In: 0.000 0.000 0.500
As: 0.000 0.500 0.000
As: 0.500 0.000 0.000

The following is a DFT calculation (GGA-PBE) of a geometry-optimized RbCdInAs2 structure.

## Properties
Size of the total moment = 0.0 μB per cell
Formation energy = -311 meV/atom
SG = C2/m
Density of states at the Fermi level = 0.8 states/eV per cell

a b c (Å): 7.550 7.550 10.236
angles (deg): 98.70 98.70 34.64
Element x y z (fractional)
Rb: 0.158 0.158 0.168
Rb: 0.842 0.842 0.832
Cd: 0.176 0.176 0.576
Cd: 0.824 0.824 0.424
In: 0.451 0.451 0.309
In: 0.549 0.549 0.691
As: 0.120 0.120 0.820
As: 0.371 0.371 0.565
As: 0.629 0.629 0.435
As: 0.880 0.880 0.180

The following is a DFT calculation (GGA-PBE) of a geometry-optimized RbCdInAs structure.

## Properties
Size of the total moment = 0.0 μB per cell
Formation energy = -106 meV/atom
SG = Cm
Density of states at the Fermi level = 1.3 states/eV per cell

a b c (Å): 3.905 3.905 8.039
angles (deg): 90.13 90.13 89.99
Element x y z (fractional)
Rb: 0.000 0.000 0.000
Cd: 0.001 0.001 0.566
In: 0.503 0.503 0.341
As: 0.500 0.500 0.684

The following is a DFT calculation (GGA-PBE) of a geometry-optimized CdInAsS structure.

## Properties
Size of the total moment = 0.0 μB per cell
Formation energy from raw total energies = -0.423 eV/atom
SG = Cm
Density of states at the Fermi level = 0.3 states/eV per cell

a b c (Å): 4.294 4.294 7.409
angles (deg): 106.85 106.85 59.99
Element x y z (fractional)
Cd: 0.000 0.000 0.000
In: 0.499 0.499 0.494
As: 0.875 0.875 0.620
S: 0.376 0.376 0.126

The following is a DFT calculation (GGA-PBE) of a geometry-optimized CdInAs2Se structure.

## Properties
Size of the total moment = 1.2 μB per cell
E above lowest polymorph = 0 meV per atom
Formation energy from raw total energies = 0.649 eV/atom
SG = P4/mmm
Density of states at the Fermi level = 5.6 states/eV per cell

a b c (Å): 5.276 5.276 5.470
angles (deg): 90.00 90.00 90.00
Element x y z (fractional)
Cd: 0.000 0.000 0.000
In: 0.500 0.500 0.500
As: 0.000 0.500 0.000
As: 0.500 0.000 0.000
Se: 0.000 0.000 0.500

The following is a DFT calculation (GGA-PBE) of a geometry-optimized CdInSn2As4 structure.

## Properties
Size of the total moment = 0.0 μB per cell
Formation energy = -108 meV/atom
SG = Fmm2
Density of states at the Fermi level = 1.7 states/eV per cell

a b c (Å): 7.599 7.501 6.316
angles (deg): 66.09 64.47 49.45
Element x y z (fractional)
Cd: 0.000 0.000 0.000
In: 0.500 0.500 0.500
Sn: 0.252 0.252 0.248
Sn: 0.752 0.752 0.748
As: 0.123 0.623 0.877
As: 0.371 0.870 0.130
As: 0.623 0.123 0.377
As: 0.870 0.371 0.629